[1]
The following is a PBE calculation of an optimized crystal structure of HfTiPb2, from Alexandria.

Results
- magnetization (μB/f.u.) = 0.0
- energy of formation from the pure elements (eV/atom) = 0.1510
- E_tot (eV per atom) = -6.1652

```
HfTiPb2
1.0
4.611 0.000 0.000
0.000 4.611 0.000
0.000 0.000 4.240
Hf Ti Pb
1 1 2
Direct
0.000 0.000 0.000
0.500 0.500 0.000
0.000 0.500 0.500
0.500 0.000 0.500
```

***

[2]
The following is a PBE calculation of an optimized crystal structure of Li2CdInSn, from Alexandria.

Results
- magnetization (μB/f.u.) = 0.0
- energy of formation from the pure elements (eV/atom) = -0.2115
- E_tot (eV per atom) = -2.5083

```
Li2CdInSn
1.0
7.018 0.000 0.000
0.000 4.351 0.000
-0.589 0.000 7.011
Li Cd In Sn
4 2 2 2
Direct
0.151 0.250 0.457
0.344 0.250 0.040
0.656 0.750 0.960
0.849 0.750 0.543
0.451 0.750 0.340
0.549 0.250 0.660
0.263 0.750 0.743
0.737 0.250 0.257
0.051 0.750 0.166
0.949 0.250 0.834
```